! SrSiPt, optimized geometry, DFT PBE-GGA; values from VASP
&SYSTEM
  ibrav = 0, nat = 3, ntyp = 3
/
ATOMIC_SPECIES
Pt 195.08 Pt.upf
Si 28.09 Si.upf
Sr 87.62 Sr.upf
CELL_PARAMETERS angstrom
6.0776 0.0237 -0.0258
5.1165 3.2803 -0.0235
0.9611 0.2816 3.2444
ATOMIC_POSITIONS angstrom
Pt 10.7287 3.1665 0.1005
Si 4.8277 1.4236 1.9999
Sr 7.7928 2.2994 1.0455
! - symmetry = I4mm, No. 107
! - formation energy (no corrections) (eV/f.u.) = -1.6
! - Fermi-level density of states (states/eV per atom) = 0.74
! - calculated volume (A^3/atom) = 21.46